A relaxed Al2ZnRu crystal. Source: the Alexandria database, functional PBE.

```
Al2ZnRu
1.0
2.8986 0.0000 0.0000
1.4493 2.5103 0.0000
1.4493 0.8368 8.2744
Al Ru Zn
2 1 1
Cartesian
1.4493 0.8368 6.3420
1.4493 0.8368 1.9326
2.8986 1.6735 0.0095
2.8986 1.6735 4.1276
```

Computed properties:
**E**: -4.73 eV per atom
**N(E_F)**: 2.2 states/eV per cell
**DFT formation energy**: -0.22 eV per atom
**Space-group type**: No. 160